Computed, not measured: a geometry-optimized Y2Mg13 structure at the PBE-GGA level of DFT.

Lattice parameters (Å, degrees): 8.4717 8.4717 22.6027 90.00 90.00 120.00
Space group R-3m (No. 166, hexagonal axes)
Asymmetric unit:
Y (0.0000, 0.0000, 0.2396) (multiplicity 6)
Mg (0.0000, 0.0000, 0.0000) (multiplicity 3)
Mg (0.0830, 0.5415, 0.3052) (multiplicity 18)
Mg (0.0974, 0.5487, 0.5569) (multiplicity 18)

## Properties
For the density of states at the Fermi level, the calculation gives 0.813 states/eV/atom. As for the energy of formation: 0.2750 eV per atom.

Computed, not measured: a geometry-optimized Ce4Sb2AsSe structure at the PBE-GGA level of DFT.

Lattice parameters (Å, degrees): 7.5221 4.3524 7.5750 90.00 109.41 90.00
Space group P2/m (No. 10)
Asymmetric unit:
Ce (0.2418, 0.0000, 0.2326) (multiplicity 2)
Ce (0.2529, 0.5000, 0.7663) (multiplicity 2)
Sb (0.0000, 0.0000, 0.5000) (multiplicity 1)
Sb (0.5000, 0.5000, 0.5000) (multiplicity 1)
As (0.0000, 0.5000, 0.0000) (multiplicity 1)
Se (0.5000, 0.0000, 0.0000) (multiplicity 1)

## Properties
For the density of states at the Fermi level, the calculation gives 3.159 states/eV/atom. For the uncorrected formation energy, the calculation gives -10.61 eV/f.u.